No. 1
Here is a relaxed structure of Li2NdAg10 from Alexandria. Energies are from PBE.

## Properties
Its formation energy is -1.39 eV/f.u. The calculation puts the density of states at the Fermi level at 5.56 states/eV/f.u.

a = 9.532 Å, b = 7.296 Å, c = 7.219 Å
α = 82.10°, β = 49.30°, γ = 48.60°
Element x y z (fractional)
Li1 0.000 0.500 0.000
Li2 0.500 0.000 0.500
Nd1 0.000 0.000 0.000
Ag1 0.000 0.000 0.500
Ag2 0.006 0.350 0.650
Ag3 0.281 0.491 0.509
Ag4 0.350 0.006 0.994
Ag5 0.491 0.281 0.719
Ag6 0.500 0.500 0.000
Ag7 0.509 0.719 0.281
Ag8 0.650 0.994 0.006
Ag9 0.719 0.509 0.491
Ag10 0.994 0.650 0.350

No. 2
Here is a relaxed structure of NaS from Alexandria. Energies are from PBE.

## Properties
The calculation puts the density of states at the Fermi level at 0.86 states/eV/f.u. The energy above the most stable polymorph in this dataset is 257.8 meV per atom. As for the raw formation energy: -0.572 eV/atom.

a = 9.127 Å, b = 9.050 Å, c = 5.115 Å
α = 74.49°, β = 72.83°, γ = 32.69°
Element x y z (fractional)
Na1 0.116 0.634 0.634
Na2 0.366 0.884 0.884
Na3 0.634 0.116 0.116
Na4 0.884 0.366 0.366
S1 0.007 0.007 0.743
S2 0.257 0.257 0.993
S3 0.743 0.743 0.007
S4 0.993 0.993 0.257

No. 3
Here is a relaxed structure of LuScNi from Alexandria. Energies are from PBE.

## Properties
Its formation energy is -0.90 eV/f.u. The calculation puts the density of states at the Fermi level at 2.89 states/eV/f.u. The energy above the most stable polymorph in this dataset is 0.0 meV per atom.

a = 3.280 Å, b = 3.280 Å, c = 11.555 Å
α = 90.00°, β = 90.00°, γ = 90.00°
Element x y z (fractional)
Lu1 0.000 0.000 0.000
Lu2 0.500 0.500 0.500
Sc1 0.000 0.000 0.268
Sc2 0.500 0.500 0.768
Ni1 0.000 0.000 0.644
Ni2 0.500 0.500 0.144

No. 4
Here is a relaxed structure of Be6PdRh5 from Alexandria. Energies are from PBE.

## Properties
Its formation energy is -7.59 eV/f.u. The calculation puts the density of states at the Fermi level at 8.56 states/eV/f.u.

a = 6.849 Å, b = 6.849 Å, c = 6.849 Å
α = 146.63°, β = 131.87°, γ = 59.83°
Element x y z (fractional)
Be1 0.075 0.331 0.744
Be2 0.238 0.000 0.238
Be3 0.413 0.669 0.744
Be4 0.587 0.331 0.256
Be5 0.762 0.000 0.762
Be6 0.925 0.669 0.256
Pd1 0.500 0.500 0.000
Rh1 0.000 0.500 0.500
Rh2 0.168 0.168 0.000
Rh3 0.336 0.836 0.500
Rh4 0.664 0.164 0.500
Rh5 0.832 0.832 0.000

No. 5
Here is a relaxed structure of SmGaAg from Alexandria. Energies are from PBE.

## Properties
Its formation energy is -0.78 eV/f.u. The calculation puts the density of states at the Fermi level at 4.36 states/eV/f.u.

a = 6.691 Å, b = 6.691 Å, c = 6.691 Å
α = 90.00°, β = 90.00°, γ = 90.00°
Element x y z (fractional)
Sm1 0.000 0.000 0.000
Sm2 0.000 0.500 0.500
Sm3 0.500 0.000 0.500
Sm4 0.500 0.500 0.000
Ga1 0.000 0.000 0.500
Ga2 0.000 0.500 0.000
Ga3 0.500 0.000 0.000
Ga4 0.500 0.500 0.500
Ag1 0.250 0.250 0.750
Ag2 0.250 0.750 0.250
Ag3 0.750 0.250 0.250
Ag4 0.750 0.750 0.750

No. 6
Here is a relaxed structure of Ca5PaN4 from Alexandria. Energies are from PBE.

## Properties
The calculation puts the density of states at the Fermi level at 2.81 states/eV/f.u. As for the raw formation energy: -1.065 eV/atom.

a = 7.953 Å, b = 7.953 Å, c = 7.261 Å
α = 102.32°, β = 102.32°, γ = 26.06°
Element x y z (fractional)
Ca1 0.000 0.000 0.000
Ca2 0.333 0.333 0.645
Ca3 0.338 0.338 0.195
Ca4 0.662 0.662 0.805
Ca5 0.667 0.667 0.355
Pa1 0.000 0.000 0.500
N1 0.152 0.152 0.572
N2 0.500 0.500 0.283
N3 0.500 0.500 0.717
N4 0.848 0.848 0.428